Record 1
Density functional theory data (PBE-GGA) for a relaxed HfSb3C crystal.

The raw formation energy is 814 meV/atom. For the polymorph energy (0 for the lowest one), the calculation gives 0.000 eV/atom. The crystal system is cubic.

a = 4.7295 Å, b = 4.7295 Å, c = 4.7295 Å
α = 90.00°, β = 90.00°, γ = 90.00°
Positions (direct):
Sb 0.0000 0.0000 0.5000
Sb 0.5000 0.0000 0.0000
Sb 0.0000 0.5000 0.0000
Hf 0.5000 0.5000 0.5000
C 0.0000 0.0000 0.0000

Record 2
Density functional theory data (PBE-GGA) for a relaxed Hf5Sb2C2 crystal.

The raw formation energy is -242 meV/atom. The crystal system is monoclinic.

a = 4.5424 Å, b = 6.4778 Å, c = 7.0139 Å
α = 105.57°, β = 90.00°, γ = 110.52°
Positions (direct):
Hf 0.6592 0.3185 0.9476
Hf 0.3408 0.6815 0.0524
Hf 0.1401 0.2803 0.5914
Hf 0.0000 0.0000 0.0000
Hf 0.8599 0.7197 0.4086
Sb 0.4039 0.8079 0.6844
Sb 0.5961 0.1921 0.3156
C 0.1600 0.3200 0.9016
C 0.8400 0.6800 0.0984

It is found that the calculated volume values, taken in the order of the records, are 21.16; 20.58 Å³ per atom.
It is found that the E_tot values, taken in the order of the records, are -5.495; -8.738 eV/atom.